[1]
Material: AcTbNdHo
Method: DFT, PBE-GGA
State: relaxed

abc: 5.8709 5.8709 5.8709
angles: 60.00 60.00 60.00
Closest atoms and distances in Å follow each position.
Sites, in units of the cell vectors:
Ac1 0.0000 0.0000 0.0000  4 Ho 3.60, 4 Tb 3.60
Tb1 0.2500 0.2500 0.2500  4 Ac 3.60, 4 Nd 3.60
Nd1 0.5000 0.5000 0.5000  4 Tb 3.60, 4 Ho 3.60
Ho1 0.7500 0.7500 0.7500  4 Ac 3.60, 4 Nd 3.60

Summary:
SG: F-43m
Energy of formation (eV/atom): 0.128
Density of states at the Fermi level (states/eV/cell): 7.5
Total energy (eV per formula unit): -17.57

---

[2]
Material: YPt2WC
Method: DFT, PBE-GGA
State: relaxed

abc: 5.0012 5.0012 4.1841
angles: 90.00 90.00 90.00
Closest atoms and distances in Å follow each position.
Sites, in units of the cell vectors:
Y1 0.0000 0.0000 0.0000  2 C 2.09
Pt1 0.0000 0.5000 0.0000  2 Y 2.50
Pt2 0.5000 0.0000 0.0000  2 Y 2.50
W1 0.5000 0.5000 0.5000  8 Pt 3.26, 4 C 3.54
C1 0.0000 0.0000 0.5000  2 Y 2.09

Summary:
SG: P4/mmm
Energy of formation (eV/atom): 2.203
Density of states at the Fermi level (states/eV/cell): 6.3
Total energy (eV per formula unit): -29.71

---

[3]
Material: Cs2RbNpI6
Method: DFT, PBE-GGA
State: relaxed

abc: 8.8972 13.2056 10.1393
angles: 90.00 90.00 90.00
Closest atoms and distances in Å follow each position.
Sites, in units of the cell vectors:
Cs1 0.2500 0.0502 0.1768  5 I 3.93-4.09
Cs2 0.2500 0.4498 0.1768  5 I 3.93-4.09
Cs3 0.7500 0.5502 0.8232  5 I 3.93-4.09
Cs4 0.7500 0.9498 0.8232  5 I 3.93-4.09
Rb1 0.2500 0.2500 0.6924  6 I 3.63-3.68
Rb2 0.7500 0.7500 0.3076  6 I 3.63-3.68
Np1 0.2500 0.7500 0.8007  6 I 3.10-3.12
Np2 0.7500 0.2500 0.1993  6 I 3.10-3.12
I1 0.0084 0.7500 0.0244  1 Np 3.12
I2 0.0101 0.2500 0.4027  1 Np 3.10
I3 0.2500 0.5141 0.7983  1 Np 3.12
I4 0.2500 0.9859 0.7983  1 Np 3.12
I5 0.4899 0.2500 0.4027  1 Np 3.10
I6 0.4916 0.7500 0.0244  1 Np 3.12
I7 0.5084 0.2500 0.9756  1 Np 3.12
I8 0.5101 0.7500 0.5973  1 Np 3.10
I9 0.7500 0.0141 0.2017  1 Np 3.12
I10 0.7500 0.4859 0.2017  1 Np 3.12
I11 0.9899 0.7500 0.5973  1 Np 3.10
I12 0.9916 0.2500 0.9756  1 Np 3.12

Summary:
SG: Pmmn
Energy relative to the elements, uncorrected (meV/atom): -1269
Density of states at the Fermi level (states/eV/cell): 10.0
Total energy (eV per formula unit): -37.61

---

Q: Among the records above, which one has the highest density of states at the Fermi level?
A: Cs2RbNpI6

---

Q: Which value of total energy does entry 3 give?
A: -37.61 eV per formula unit

---

Q: The highest density of states at the Fermi level belongs to which entry?
A: Cs2RbNpI6